# Mn2PtWN

Mn2PtWN after structural relaxation (PBE-GGA, the Alexandria database).

Geometry as extended XYZ:
```
5
Lattice="-3.246 2.053 0.297 -1.370 -1.706 -3.170 -1.630 -2.905 2.268" Properties=species:S:1:pos:R:3 pbc="T T T"
Mn -0.685 -0.853 -1.585
Mn -1.623 1.027 0.149
Pt -3.123 -1.279 -0.303
N 0.000 0.000 0.000
W -0.815 -1.452 1.134
```

Calculated values
DFT total energy, Ry per atom: -0.6849
N(E_F), states/eV per atom: 1.02
Raw formation energy, eV per formula unit: -0.93